A plane-wave DFT calculation with PBE was carried out for an optimized crystal structure of CrTc2Pb.

Properties
The calculation puts the formation energy at 2.0 eV/f.u. The calculation puts the energy above the most stable polymorph in this dataset at 0.039 eV per atom. The density of states at the Fermi level is 0.963 states/eV per atom.

Cell: 9.212 2.989 4.934 Å, 90.00 104.53 90.00°
Space group C2/m (No. 12)
One atom of each set of equivalent atoms:
1 Cr 0.000 0.000 0.000
2 Tc 0.228 0.500 0.204
3 Pb 0.000 0.500 0.500